Entry from Alexandria via LeMat-Bulk: a relaxed structure of UTl2S2F4 (PBE-GGA).

## Properties
Calculated volume (Å³/cell): 211.7
Spin magnetization (μB per atom): 0.00
E (eV/atom): -5.612
ΔE_f (raw) (kJ/mol of atoms): -200.9

Cell lengths 6.9645, 6.9645, 5.3801 Å; angles 92.47, 92.47, 54.30 degrees
With the nearest neighbours (Å) after each atom.
Positions (direct):
U 0.0000 0.0000 0.0000  4 F 2.09
Tl 0.3296 0.3296 0.3302  4 F 3.13-3.28, 4 S 3.24-3.29
Tl 0.6704 0.6704 0.6698  4 F 3.13-3.28, 4 S 3.24-3.29
S 0.1806 0.1806 0.8190  1 U 2.48
S 0.8194 0.8194 0.1810  1 U 2.48
F 0.1849 0.7096 0.7542  1 U 2.09
F 0.2904 0.8151 0.2458  1 U 2.09
F 0.7096 0.1849 0.7542  1 U 2.09
F 0.8151 0.2904 0.2458  1 U 2.09

Entry from Alexandria via LeMat-Bulk: a relaxed structure of CdSbPb (PBE-GGA).

## Properties
Calculated volume (Å³/cell): 174.6
Spin magnetization (μB per atom): 0.00
E (eV/atom): -2.842
ΔE_f (raw) (kJ/mol of atoms): 7.0

Cell lengths 9.1792, 9.1792, 9.1792 Å; angles 158.53, 141.82, 44.22 degrees
With the nearest neighbours (Å) after each atom.
Positions (direct):
Cd 0.2414 0.0000 0.2414  2 Cd 2.90-3.11, 2 Sb 3.01
Cd 0.7586 0.0000 0.7586  2 Cd 2.90-3.11, 2 Sb 3.01
Sb 0.3483 0.8483 0.5000  2 Cd 3.01, 1 Pb 3.29
Sb 0.6517 0.1517 0.5000  2 Cd 3.01, 1 Pb 3.29
Pb 0.1551 0.6551 0.5000  5 Sb 3.29-3.46, 2 Pb 3.42, 4 Cd 3.46
Pb 0.8449 0.3449 0.5000  5 Sb 3.29-3.46, 2 Pb 3.42, 4 Cd 3.46

Entry from Alexandria via LeMat-Bulk: a relaxed structure of HRuCl (PBE-GGA).

## Properties
Calculated volume (Å³/cell): 83.4
Spin magnetization (μB per atom): 0.00
E (eV/atom): -4.668

Cell lengths 5.8585, 5.8585, 4.6801 Å; angles 113.48, 113.48, 34.87 degrees
With the nearest neighbours (Å) after each atom.
Positions (direct):
H 0.1680 0.1680 0.4606  3 Ru 1.78-1.88
H 0.8320 0.8320 0.5394  3 Ru 1.78-1.88
Ru 0.3524 0.3524 0.6047  3 H 1.78-1.88
Ru 0.6476 0.6476 0.3953  3 H 1.78-1.88
Cl 0.4030 0.4030 0.1533  3 Ru 2.39-2.48
Cl 0.5970 0.5970 0.8467  3 Ru 2.39-2.48

Entry from Alexandria via LeMat-Bulk: a relaxed structure of RbZn2Se2 (PBE-GGA).

## Properties
Calculated volume (Å³/cell): 139.8
Spin magnetization (μB per atom): 0.00
E (eV/atom): -2.687
ΔE_f (raw) (kJ/mol of atoms): -57.0
Offset from the most stable computed form (meV/atom): 0

Cell lengths 7.4597, 7.4597, 7.4597 Å; angles 144.41, 144.41, 51.21 degrees
With the nearest neighbours (Å) after each atom.
Positions (direct):
Rb 0.0000 0.0000 0.0000  8 Se 3.84, 8 Zn 4.06
Zn 0.2500 0.7500 0.5000  4 Se 2.61
Zn 0.7500 0.2500 0.5000  4 Se 2.61
Se 0.3446 0.3446 0.0000  4 Zn 2.61
Se 0.6554 0.6554 0.0000  4 Zn 2.61

Entry from Alexandria via LeMat-Bulk: a relaxed structure of K2Tl3Br3Cl2 (PBE-GGA).

## Properties
Calculated volume (Å³/cell): 418.6
Spin magnetization (μB per atom): 0.00
E (eV/atom): -2.968
ΔE_f (raw) (kJ/mol of atoms): -112.6

Cell lengths 15.9992, 15.9992, 15.9992 Å; angles 161.35, 161.35, 26.49 degrees
With the nearest neighbours (Å) after each atom.
Positions (direct):
K 0.2500 0.7500 0.5000  4 Cl 2.94
K 0.7500 0.2500 0.5000  4 Cl 2.94
Tl 0.0000 0.0000 0.0000  6 Br 3.33-3.67
Tl 0.3982 0.3982 0.0000  1 Br 3.17, 1 Cl 3.22
Tl 0.6018 0.6018 0.0000  1 Br 3.17, 1 Cl 3.22
Br 0.1071 0.1071 0.0000  5 Tl 3.33-3.67
Br 0.5000 0.5000 0.0000  2 Tl 3.17
Br 0.8929 0.8929 0.0000  5 Tl 3.33-3.67
Cl 0.2946 0.2946 0.0000  4 K 2.94, 1 Tl 3.22
Cl 0.7054 0.7054 0.0000  4 K 2.94, 1 Tl 3.22

Entry from Alexandria via LeMat-Bulk: a relaxed structure of Mg3Cr2N4 (PBE-GGA).

## Properties
Calculated volume (Å³/cell): 201.0
Spin magnetization (μB per atom): 0.43
E (eV/atom): -6.853
ΔE_f (raw) (kJ/mol of atoms): -46.6

Cell lengths 6.2214, 6.2214, 5.4457 Å; angles 90.57, 90.57, 72.46 degrees
With the nearest neighbours (Å) after each atom.
Positions (direct):
Mg 0.0958 0.9042 0.7500  6 N 2.23-2.31
Mg 0.2650 0.5101 0.5242  4 N 2.17-2.27
Mg 0.4899 0.7350 0.9758  4 N 2.17-2.27
Mg 0.5101 0.2650 0.0242  4 N 2.17-2.27
Mg 0.7350 0.4899 0.4758  4 N 2.17-2.27
Mg 0.9042 0.0958 0.2500  6 N 2.23-2.31
Cr 0.0665 0.3231 0.8971  4 N 1.90-1.98
Cr 0.3231 0.0665 0.3971  4 N 1.90-1.98
Cr 0.6769 0.9335 0.6029  4 N 1.90-1.98
Cr 0.9335 0.6769 0.1029  4 N 1.90-1.98
N 0.0568 0.2355 0.5616  2 Cr 1.90-1.91
N 0.2245 0.5544 0.9334  2 Cr 1.97-1.98, 1 Mg 2.17
N 0.2355 0.0568 0.0616  2 Cr 1.90-1.91
N 0.4456 0.7755 0.5666  2 Cr 1.97-1.98, 1 Mg 2.17
N 0.5544 0.2245 0.4334  2 Cr 1.97-1.98, 1 Mg 2.17
N 0.7645 0.9432 0.9384  2 Cr 1.90-1.91
N 0.7755 0.4456 0.0666  2 Cr 1.97-1.98, 1 Mg 2.17
N 0.9432 0.7645 0.4384  2 Cr 1.90-1.91

Entry from Alexandria via LeMat-Bulk: a relaxed structure of AcPrNd2Sm5 (PBE-GGA).

## Properties
Calculated volume (Å³/cell): 648.5
Spin magnetization (μB per atom): 0.00
E (eV/atom): -4.412

Cell lengths 10.1921, 10.1921, 10.1921 Å; angles 127.36, 127.36, 77.66 degrees
With the nearest neighbours (Å) after each atom.
Positions (direct):
Ac 0.2500 0.7500 0.5000  4 Sm 3.28
Ac 0.7500 0.2500 0.5000  4 Sm 3.28
Pr 0.2500 0.2500 0.0000  10 Sm 3.74-3.97
Pr 0.7500 0.7500 0.0000  10 Sm 3.74-3.97
Nd 0.1150 0.6150 0.7299  1 Nd 2.94, 2 Sm 3.06
Nd 0.3850 0.1150 0.5000  1 Nd 2.94, 2 Sm 3.06
Nd 0.6150 0.8850 0.5000  1 Nd 2.94, 2 Sm 3.06
Nd 0.8850 0.3850 0.2701  1 Nd 2.94, 2 Sm 3.06
Sm 0.0000 0.0000 0.0000  4 Nd 3.63, 8 Sm 3.85, 2 Pr 3.97
Sm 0.0787 0.1574 0.5000  1 Nd 3.06, 1 Ac 3.28
Sm 0.1574 0.6574 0.0787  1 Nd 3.06, 1 Ac 3.28
Sm 0.3426 0.4213 0.5000  1 Nd 3.06, 1 Ac 3.28
Sm 0.4213 0.9213 0.0787  1 Nd 3.06, 1 Ac 3.28
Sm 0.5000 0.5000 0.0000  4 Nd 3.63, 8 Sm 3.85, 2 Pr 3.97
Sm 0.5787 0.0787 0.9213  1 Nd 3.06, 1 Ac 3.28
Sm 0.6574 0.5787 0.5000  1 Nd 3.06, 1 Ac 3.28
Sm 0.8426 0.3426 0.9213  1 Nd 3.06, 1 Ac 3.28
Sm 0.9213 0.8426 0.5000  1 Nd 3.06, 1 Ac 3.28

Entry from Alexandria via LeMat-Bulk: a relaxed structure of CrTc2Br (PBE-GGA).

## Properties
Calculated volume (Å³/cell): 162.8
Spin magnetization (μB per atom): 0.00
E (eV/atom): -6.890
ΔE_f (raw) (kJ/mol of atoms): 107.8
Offset from the most stable computed form (meV/atom): 650

Cell lengths 6.7501, 6.7501, 6.7501 Å; angles 132.75, 132.75, 69.04 degrees
With the nearest neighbours (Å) after each atom.
Positions (direct):
Cr 0.0000 0.0000 0.0000  4 Tc 2.26
Cr 0.7500 0.2500 0.5000  4 Tc 2.26
Tc 0.0904 0.6250 0.9654  2 Cr 2.26, 2 Br 2.48
Tc 0.3750 0.3404 0.4654  2 Cr 2.26, 2 Br 2.48
Tc 0.6596 0.1250 0.0346  2 Cr 2.26, 2 Br 2.48
Tc 0.8750 0.9096 0.5346  2 Cr 2.26, 2 Br 2.48
Br 0.2500 0.7500 0.5000  4 Tc 2.48
Br 0.5000 0.5000 0.0000  4 Tc 2.48

Entry from Alexandria via LeMat-Bulk: a relaxed structure of Pr12Tl3Hg (PBE-GGA).

## Properties
Calculated volume (Å³/cell): 506.2
Spin magnetization (μB per atom): 0.00
E (eV/atom): -4.253

Cell lengths 5.0266, 5.0266, 20.0347 Å; angles 90.00, 90.00, 90.00 degrees
With the nearest neighbours (Å) after each atom.
Positions (direct):
Pr 0.0000 0.0000 0.0000  8 Pr 3.52, 4 Hg 3.55
Pr 0.0000 0.0000 0.2475  8 Pr 3.54-3.57, 4 Tl 3.55
Pr 0.0000 0.0000 0.5000  4 Tl 3.55, 8 Pr 3.56
Pr 0.0000 0.0000 0.7525  8 Pr 3.54-3.57, 4 Tl 3.55
Pr 0.0000 0.5000 0.1232  2 Hg 3.52, 8 Pr 3.52-3.55, 2 Tl 3.56
Pr 0.0000 0.5000 0.3741  4 Tl 3.55-3.56, 8 Pr 3.55-3.57
Pr 0.0000 0.5000 0.6259  4 Tl 3.55-3.56, 8 Pr 3.55-3.57
Pr 0.0000 0.5000 0.8768  2 Hg 3.52, 8 Pr 3.52-3.55, 2 Tl 3.56
Pr 0.5000 0.0000 0.1232  2 Hg 3.52, 8 Pr 3.52-3.55, 2 Tl 3.56
Pr 0.5000 0.0000 0.3741  4 Tl 3.55-3.56, 8 Pr 3.55-3.57
Pr 0.5000 0.0000 0.6259  4 Tl 3.55-3.56, 8 Pr 3.55-3.57
Pr 0.5000 0.0000 0.8768  2 Hg 3.52, 8 Pr 3.52-3.55, 2 Tl 3.56
Tl 0.5000 0.5000 0.2488  12 Pr 3.55-3.56
Tl 0.5000 0.5000 0.5000  12 Pr 3.55-3.56
Tl 0.5000 0.5000 0.7512  12 Pr 3.55-3.56
Hg 0.5000 0.5000 0.0000  12 Pr 3.52-3.55

Entry from Alexandria via LeMat-Bulk: a relaxed structure of TbDyMnGa (PBE-GGA).

## Properties
Calculated volume (Å³/cell): 91.0
Spin magnetization (μB per atom): 0.83
E (eV/atom): -5.517

Cell lengths 5.0485, 5.0485, 5.0485 Å; angles 60.00, 60.00, 60.00 degrees
With the nearest neighbours (Å) after each atom.
Positions (direct):
Tb 0.0000 0.0000 0.0000  4 Mn 3.09, 4 Ga 3.09
Dy 0.5000 0.5000 0.5000  4 Mn 3.09, 4 Ga 3.09
Mn 0.7500 0.7500 0.7500  4 Dy 3.09, 4 Tb 3.09
Ga 0.2500 0.2500 0.2500  4 Dy 3.09, 4 Tb 3.09

Entry from Alexandria via LeMat-Bulk: a relaxed structure of CeAgPt (PBE-GGA).

## Properties
Calculated volume (Å³/cell): 137.7
Spin magnetization (μB per atom): 0.23
E (eV/atom): -5.535
Offset from the most stable computed form (meV/atom): 107

Cell lengths 4.0464, 4.0464, 8.8924 Å; angles 103.42, 103.42, 88.78 degrees
With the nearest neighbours (Å) after each atom.
Positions (direct):
Ce 0.1700 0.1700 0.3388  5 Pt 2.84-2.98
Ce 0.8300 0.8300 0.6612  5 Pt 2.84-2.98
Ag 0.2591 0.2591 0.0000  4 Ag 2.79-3.00, 2 Pt 2.93
Ag 0.7409 0.7409 0.0000  4 Ag 2.79-3.00, 2 Pt 2.93
Pt 0.3463 0.3463 0.6937  5 Ce 2.84-2.98, 2 Ag 2.93
Pt 0.6537 0.6537 0.3063  5 Ce 2.84-2.98, 2 Ag 2.93

Entry from Alexandria via LeMat-Bulk: a relaxed structure of AlZnCd (PBE-GGA).

## Properties
Calculated volume (Å³/cell): 57.2
Spin magnetization (μB per atom): 0.00
E (eV/atom): -1.809
Offset from the most stable computed form (meV/atom): 88

Cell lengths 7.3186, 7.0428, 3.0400 Å; angles 82.92, 72.74, 24.34 degrees
With the nearest neighbours (Å) after each atom.
Positions (direct):
Al 0.0000 0.0000 0.0000  2 Zn 2.62, 2 Cd 2.93
Zn 0.6501 0.6501 0.3499  2 Al 2.62, 2 Cd 2.86
Cd 0.3220 0.3220 0.6780  2 Zn 2.86, 2 Al 2.93, 4 Cd 3.04